# FeRuPt2 | the Alexandria database | PBEsol | optimized geometry
data_FeRuPt2
_chemical_formula_sum 'Fe1 Ru1 Pt2'
_space_group_name_H-M_alt 'P 1'
_space_group_IT_number 1
_cell_length_a 4.660
_cell_length_b 4.660
_cell_length_c 4.650
_cell_angle_alpha 99.80
_cell_angle_beta 99.80
_cell_angle_gamma 33.57
loop_
_space_group_symop_operation_xyz
'x,y,z'
loop_
_atom_site_label
_atom_site_type_symbol
_atom_site_fract_x
_atom_site_fract_y
_atom_site_fract_z
_atom_site_occupancy
Fe1 Fe 0.000 0.000 0.000 1
Ru1 Ru 0.500 0.500 0.500 1
Pt1 Pt 0.251 0.251 0.751 1
Pt2 Pt 0.749 0.749 0.249 1
# Energy of formation from the pure elements ... 0.046 eV per atom


# Sr2Te2C | the Alexandria database | PBEsol | optimized geometry
data_Sr2Te2C
_chemical_formula_sum 'Sr2 Te2 C1'
_space_group_name_H-M_alt 'P 1'
_space_group_IT_number 1
_cell_length_a 8.968
_cell_length_b 8.968
_cell_length_c 8.968
_cell_angle_alpha 152.75
_cell_angle_beta 152.75
_cell_angle_gamma 38.92
loop_
_space_group_symop_operation_xyz
'x,y,z'
loop_
_atom_site_label
_atom_site_type_symbol
_atom_site_fract_x
_atom_site_fract_y
_atom_site_fract_z
_atom_site_occupancy
Sr1 Sr 0.094 0.094 0.000 1
Sr2 Sr 0.906 0.906 0.000 1
Te1 Te 0.250 0.750 0.500 1
Te2 Te 0.750 0.250 0.500 1
C1 C 0.500 0.500 0.000 1
# Formation energy (no corrections) ... 0.379 eV/atom


# LiMnTe2N | the Alexandria database | PBEsol | optimized geometry
data_LiMnTe2N
_chemical_formula_sum 'Li1 Mn1 Te2 N1'
_space_group_name_H-M_alt 'P 1'
_space_group_IT_number 1
_cell_length_a 5.336
_cell_length_b 5.336
_cell_length_c 3.409
_cell_angle_alpha 90.00
_cell_angle_beta 90.00
_cell_angle_gamma 90.00
loop_
_space_group_symop_operation_xyz
'x,y,z'
loop_
_atom_site_label
_atom_site_type_symbol
_atom_site_fract_x
_atom_site_fract_y
_atom_site_fract_z
_atom_site_occupancy
Li1 Li 0.000 0.000 0.000 1
Mn1 Mn 0.500 0.500 0.500 1
Te1 Te 0.000 0.500 0.500 1
Te2 Te 0.500 0.000 0.500 1
N1 N 0.500 0.500 0.000 1
# Formation energy (no corrections) ... -0.153 eV/atom


Number 1: total energy -32.88 eV for the cell shown. Number 2: total energy -18.48 eV for the cell shown. Number 3: total energy -28.07 eV for the cell shown.